Entry 1:
An optimized crystal structure of Zr4Cd3W2N3. Source: OQMD via LeMat-Bulk, functional PBE.

Cell: 5.5828 5.5828 14.8420 Å, 100.72 100.72 60.21°
Last column: nearest neighbours and their distance in Å.
Positions (direct):
Zr: 0.0278 0.1951 0.0887  3 N 2.25-2.27
Zr: 0.1367 0.3063 0.4113  3 N 2.25-2.27
Zr: 0.1951 0.0278 0.5887  3 N 2.25-2.27
Zr: 0.3063 0.1367 0.9113  3 N 2.25-2.27
Zr: 0.6937 0.8633 0.0887  3 N 2.25-2.27
Zr: 0.8049 0.9722 0.4113  3 N 2.25-2.27
Zr: 0.8633 0.6937 0.5887  3 N 2.25-2.27
Zr: 0.9722 0.8049 0.9113  3 N 2.25-2.27
Cd: 0.1169 0.8831 0.2500  2 Cd 2.91, 4 Zr 3.04-3.06, 2 W 3.10
Cd: 0.2829 0.4160 0.7498  2 Cd 2.91, 4 Zr 3.04-3.06, 2 W 3.09-3.12
Cd: 0.4160 0.2829 0.2498  2 Cd 2.91, 4 Zr 3.04-3.06, 2 W 3.09-3.12
Cd: 0.5840 0.7171 0.7502  2 Cd 2.91, 4 Zr 3.04-3.06, 2 W 3.09-3.12
Cd: 0.7171 0.5840 0.2502  2 Cd 2.91, 4 Zr 3.04-3.06, 2 W 3.09-3.12
Cd: 0.8831 0.1169 0.7500  2 Cd 2.91, 4 Zr 3.04-3.06, 2 W 3.10
W: 0.3548 0.5228 0.0699  3 N 2.11-2.15
W: 0.4772 0.6452 0.4301  3 N 2.11-2.15
W: 0.5228 0.3548 0.5699  3 N 2.11-2.15
W: 0.6452 0.4772 0.9301  3 N 2.11-2.15
N: 0.0000 0.5000 0.0000  2 W 2.11, 4 Zr 2.27
N: 0.1612 0.6694 0.5000  2 W 2.14-2.15, 4 Zr 2.25
N: 0.3306 0.8388 0.0000  2 W 2.14-2.15, 4 Zr 2.25
N: 0.5000 0.0000 0.5000  2 W 2.11, 4 Zr 2.27
N: 0.6694 0.1612 0.0000  2 W 2.14-2.15, 4 Zr 2.25
N: 0.8388 0.3306 0.5000  2 W 2.14-2.15, 4 Zr 2.25

## Properties
Symmetry: No. 15
VASP energy in eV per atom: -7.91

=====

Entry 2:
An optimized crystal structure of ErTlRe. Source: OQMD via LeMat-Bulk, functional PBE.

Cell: 5.1729 5.1729 2.8836 Å, 90.00 90.00 120.00°
Last column: nearest neighbours and their distance in Å.
Positions (direct):
Er: 0.0000 0.0000 0.0000  2 Er 2.88, 3 Tl 2.99, 3 Re 2.99
Tl: 0.3333 0.6667 0.0000  2 Tl 2.88, 3 Er 2.99, 3 Re 2.99
Re: 0.6667 0.3333 0.0000  2 Re 2.88, 3 Er 2.99, 3 Tl 2.99

## Properties
Symmetry: No. 187
VASP energy in eV per atom: -5.62

=====

Entry 3:
An optimized crystal structure of Hf3P3Pd4. Source: OQMD via LeMat-Bulk, functional PBE.

Cell: 16.4604 3.8058 10.0525 Å, 90.00 90.00 90.00°
Last column: nearest neighbours and their distance in Å.
Positions (direct):
Hf: 0.0478 0.2500 0.1179  5 P 2.67-2.79, 5 Pd 2.91-2.97
Hf: 0.0610 0.7500 0.5880  5 P 2.70-2.72, 5 Pd 3.00-3.02
Hf: 0.2396 0.2500 0.9787  4 P 2.69-2.82, 2 Pd 2.90
Hf: 0.2604 0.7500 0.4787  4 P 2.69-2.82, 2 Pd 2.90
Hf: 0.4390 0.2500 0.0880  5 P 2.70-2.72, 5 Pd 3.00-3.02
Hf: 0.4522 0.7500 0.6179  5 P 2.67-2.79, 5 Pd 2.91-2.97
Hf: 0.5478 0.2500 0.3821  5 P 2.67-2.79, 5 Pd 2.91-2.97
Hf: 0.5610 0.7500 0.9120  5 P 2.70-2.72, 5 Pd 3.00-3.02
Hf: 0.7396 0.2500 0.5213  4 P 2.69-2.82, 2 Pd 2.90
Hf: 0.7604 0.7500 0.0213  4 P 2.69-2.82, 2 Pd 2.90
Hf: 0.9390 0.2500 0.4120  5 P 2.70-2.72, 5 Pd 3.00-3.02
Hf: 0.9522 0.7500 0.8821  5 P 2.67-2.79, 5 Pd 2.91-2.97
P: 0.0432 0.7500 0.3207  4 Pd 2.44-2.55, 3 Hf 2.70-2.72
P: 0.1137 0.7500 0.9667  4 Pd 2.46-2.51, 2 Hf 2.67
P: 0.1768 0.2500 0.6101  5 Pd 2.42-2.63, 4 Hf 2.69-2.70
P: 0.3232 0.7500 0.1101  5 Pd 2.42-2.63, 4 Hf 2.69-2.70
P: 0.3863 0.2500 0.4667  4 Pd 2.46-2.51, 2 Hf 2.67
P: 0.4568 0.2500 0.8207  4 Pd 2.44-2.55, 3 Hf 2.70-2.72
P: 0.5432 0.7500 0.1793  4 Pd 2.44-2.55, 3 Hf 2.70-2.72
P: 0.6137 0.7500 0.5333  4 Pd 2.46-2.51, 2 Hf 2.67
P: 0.6768 0.2500 0.8899  5 Pd 2.42-2.63, 4 Hf 2.69-2.70
P: 0.8232 0.7500 0.3899  5 Pd 2.42-2.63, 4 Hf 2.69-2.70
P: 0.8863 0.2500 0.0333  4 Pd 2.46-2.51, 2 Hf 2.67
P: 0.9568 0.2500 0.6793  4 Pd 2.44-2.55, 3 Hf 2.70-2.72
Pd: 0.0803 0.2500 0.8187  4 P 2.47-2.63
Pd: 0.1283 0.2500 0.3826  3 P 2.42-2.44
Pd: 0.1756 0.7500 0.1891  3 P 2.46-2.56
Pd: 0.2059 0.7500 0.7683  3 P 2.51-2.53
Pd: 0.2941 0.2500 0.2683  3 P 2.51-2.53
Pd: 0.3244 0.2500 0.6891  3 P 2.46-2.56
Pd: 0.3717 0.7500 0.8826  3 P 2.42-2.44
Pd: 0.4197 0.7500 0.3187  4 P 2.47-2.63
Pd: 0.5803 0.2500 0.6813  4 P 2.47-2.63
Pd: 0.6283 0.2500 0.1174  3 P 2.42-2.44
Pd: 0.6756 0.7500 0.3109  3 P 2.46-2.56
Pd: 0.7059 0.7500 0.7317  3 P 2.51-2.53
Pd: 0.7941 0.2500 0.2317  3 P 2.51-2.53
Pd: 0.8244 0.2500 0.8109  3 P 2.46-2.56
Pd: 0.8717 0.7500 0.6174  3 P 2.42-2.44
Pd: 0.9197 0.7500 0.1813  4 P 2.47-2.63

## Properties
Symmetry: No. 62
VASP energy in eV per atom: -7.66

=====

Entry 4:
An optimized crystal structure of Ho2CoSi. Source: OQMD via LeMat-Bulk, functional PBE.

Cell: 5.5837 3.7936 7.7968 Å, 90.00 90.79 90.00°
Last column: nearest neighbours and their distance in Å.
Positions (direct):
Ho: 0.1195 0.2500 0.3337  4 Co 2.86-3.09, 3 Si 2.99-3.20
Ho: 0.3791 0.2500 0.8056  3 Co 2.89-2.90, 4 Si 2.98-3.11
Ho: 0.6209 0.7500 0.1944  3 Co 2.89-2.90, 4 Si 2.98-3.11
Ho: 0.8805 0.7500 0.6663  4 Co 2.86-3.09, 3 Si 2.99-3.20
Co: 0.3960 0.7500 0.5269  2 Co 2.27
Co: 0.6040 0.2500 0.4731  2 Co 2.27
Si: 0.1304 0.7500 0.0376  2 Si 2.46
Si: 0.8696 0.2500 0.9624  2 Si 2.46

## Properties
Symmetry: No. 11
VASP energy in eV per atom: -5.92

=====

Entry 5:
An optimized crystal structure of Be2InIr. Source: OQMD via LeMat-Bulk, functional PBE.

Cell: 6.0473 6.0473 6.0473 Å, 90.00 90.00 90.00°
Last column: nearest neighbours and their distance in Å.
Positions (direct):
Be: 0.0000 0.0000 0.0000  4 Be 2.62, 4 Ir 2.62
Be: 0.0000 0.5000 0.5000  4 Be 2.62, 4 Ir 2.62
Be: 0.2500 0.2500 0.2500  4 In 2.62, 4 Be 2.62
Be: 0.2500 0.7500 0.7500  4 In 2.62, 4 Be 2.62
Be: 0.5000 0.0000 0.5000  4 Be 2.62, 4 Ir 2.62
Be: 0.5000 0.5000 0.0000  4 Be 2.62, 4 Ir 2.62
Be: 0.7500 0.2500 0.7500  4 In 2.62, 4 Be 2.62
Be: 0.7500 0.7500 0.2500  4 In 2.62, 4 Be 2.62
In: 0.0000 0.0000 0.5000  4 Ir 2.62, 4 Be 2.62
In: 0.0000 0.5000 0.0000  4 Ir 2.62, 4 Be 2.62
In: 0.5000 0.0000 0.0000  4 Ir 2.62, 4 Be 2.62
In: 0.5000 0.5000 0.5000  4 Ir 2.62, 4 Be 2.62
Ir: 0.2500 0.2500 0.7500  4 In 2.62, 4 Be 2.62
Ir: 0.2500 0.7500 0.2500  4 In 2.62, 4 Be 2.62
Ir: 0.7500 0.2500 0.2500  4 In 2.62, 4 Be 2.62
Ir: 0.7500 0.7500 0.7500  4 Be 2.62, 4 In 2.62

## Properties
Symmetry: No. 216
VASP energy in eV per atom: -4.55

=====

Entry 6:
An optimized crystal structure of ZnCoAg2. Source: OQMD via LeMat-Bulk, functional PBE.

Cell: 4.4298 9.9687 5.5680 Å, 90.00 90.00 90.00°
Last column: nearest neighbours and their distance in Å.
Positions (direct):
Zn: 0.2500 0.1620 0.0000  3 Co 2.53-2.76, 5 Ag 2.68-2.79
Zn: 0.2500 0.6620 0.5000  3 Co 2.53-2.76, 5 Ag 2.68-2.79
Zn: 0.7500 0.3380 0.5000  3 Co 2.53-2.76, 5 Ag 2.68-2.79
Zn: 0.7500 0.8380 0.0000  3 Co 2.53-2.76, 5 Ag 2.68-2.79
Co: 0.2500 0.4429 0.2714  2 Co 2.49, 3 Zn 2.53-2.76, 2 Ag 2.73-2.78
Co: 0.2500 0.9429 0.7714  2 Co 2.49, 3 Zn 2.53-2.76, 2 Ag 2.73-2.78
Co: 0.7500 0.0571 0.7714  2 Co 2.49, 3 Zn 2.53-2.76, 2 Ag 2.73-2.78
Co: 0.7500 0.5571 0.2714  2 Co 2.49, 3 Zn 2.53-2.76, 2 Ag 2.73-2.78
Ag: 0.2500 0.1771 0.5186  4 Zn 2.68-2.89, 4 Co 2.73-2.99, 4 Ag 2.77-2.94
Ag: 0.2500 0.4180 0.7681  6 Ag 2.75-2.94, 2 Co 2.78-2.81, 4 Zn 2.79-2.86
Ag: 0.2500 0.6771 0.0186  4 Zn 2.68-2.89, 4 Co 2.73-2.99, 4 Ag 2.77-2.94
Ag: 0.2500 0.9180 0.2681  6 Ag 2.75-2.94, 2 Co 2.78-2.81, 4 Zn 2.79-2.86
Ag: 0.7500 0.0820 0.2681  6 Ag 2.75-2.94, 2 Co 2.78-2.81, 4 Zn 2.79-2.86
Ag: 0.7500 0.3229 0.0186  4 Zn 2.68-2.89, 4 Co 2.73-2.99, 4 Ag 2.77-2.94
Ag: 0.7500 0.5820 0.7681  6 Ag 2.75-2.94, 2 Co 2.78-2.81, 4 Zn 2.79-2.86
Ag: 0.7500 0.8229 0.5186  4 Zn 2.68-2.89, 4 Co 2.73-2.99, 4 Ag 2.77-2.94

## Properties
Symmetry: No. 40
Formation energy in kJ per mole of atoms: 15

=====

Entry 7:
An optimized crystal structure of Na3ZnF6. Source: OQMD via LeMat-Bulk, functional PBE.

Cell: 5.5605 5.5605 5.5605 Å, 121.32 121.32 87.73°
Last column: nearest neighbours and their distance in Å.
Positions (direct):
Na: 0.0000 0.0000 0.0000  6 F 2.08-2.15
Na: 0.2500 0.7500 0.5000  4 F 2.37
Na: 0.7500 0.2500 0.5000  4 F 2.37
Zn: 0.5000 0.5000 0.0000  6 F 1.92-1.93
F: 0.1777 0.6482 0.8259  1 Zn 1.93, 1 Na 2.15
F: 0.2600 0.2600 0.0000  1 Zn 1.92, 1 Na 2.08
F: 0.3518 0.1777 0.5295  1 Zn 1.93, 1 Na 2.15
F: 0.6482 0.8223 0.4705  1 Zn 1.93, 1 Na 2.15
F: 0.7400 0.7400 0.0000  1 Zn 1.92, 1 Na 2.08
F: 0.8223 0.3518 0.1741  1 Zn 1.93, 1 Na 2.15

## Properties
Symmetry: No. 87
VASP energy in eV per atom: -3.93

=====

Entry 8:
An optimized crystal structure of GdPtSO. Source: OQMD via LeMat-Bulk, functional PBE.

Cell: 6.4423 12.0745 7.4719 Å, 90.00 90.00 90.00°
Last column: nearest neighbours and their distance in Å.
Positions (direct):
Gd: 0.0862 0.2086 0.1229  3 O 2.20-2.22
Gd: 0.0862 0.2914 0.6229  3 O 2.20-2.22
Gd: 0.4138 0.7086 0.1229  3 O 2.20-2.22
Gd: 0.4138 0.7914 0.6229  3 O 2.20-2.22
Gd: 0.5862 0.2086 0.3771  3 O 2.20-2.22
Gd: 0.5862 0.2914 0.8771  3 O 2.20-2.22
Gd: 0.9138 0.7086 0.3771  3 O 2.20-2.22
Gd: 0.9138 0.7914 0.8771  3 O 2.20-2.22
Pt: 0.2129 0.5102 0.4979  4 S 2.41-2.59
Pt: 0.2129 0.9898 0.9979  4 S 2.41-2.59
Pt: 0.2871 0.0102 0.4979  4 S 2.41-2.59
Pt: 0.2871 0.4898 0.9979  4 S 2.41-2.59
Pt: 0.7129 0.5102 0.0021  4 S 2.41-2.59
Pt: 0.7129 0.9898 0.5021  4 S 2.41-2.59
Pt: 0.7871 0.0102 0.0021  4 S 2.41-2.59
Pt: 0.7871 0.4898 0.5021  4 S 2.41-2.59
S: 0.0053 0.0078 0.7110  4 Pt 2.41-2.59
S: 0.0053 0.4922 0.2110  4 Pt 2.41-2.59
S: 0.4947 0.5078 0.7110  4 Pt 2.41-2.59
S: 0.4947 0.9922 0.2110  4 Pt 2.41-2.59
S: 0.5053 0.0078 0.7890  4 Pt 2.41-2.59
S: 0.5053 0.4922 0.2890  4 Pt 2.41-2.59
S: 0.9947 0.5078 0.7890  4 Pt 2.41-2.59
S: 0.9947 0.9922 0.2890  4 Pt 2.41-2.59
O: 0.2482 0.7457 0.3737  3 Gd 2.20-2.22
O: 0.2482 0.7543 0.8737  3 Gd 2.20-2.22
O: 0.2518 0.2457 0.3737  3 Gd 2.20-2.22
O: 0.2518 0.2543 0.8737  3 Gd 2.20-2.22
O: 0.7482 0.7457 0.1263  3 Gd 2.20-2.22
O: 0.7482 0.7543 0.6263  3 Gd 2.20-2.22
O: 0.7518 0.2457 0.1263  3 Gd 2.20-2.22
O: 0.7518 0.2543 0.6263  3 Gd 2.20-2.22

## Properties
Symmetry: No. 61
VASP energy in eV per atom: -6.63

=====

Question: Which formula does entry 7 have?
Answer: Na3ZnF6

=====

Question: Which formula does entry 6 have?
Answer: ZnCoAg2

=====

What did the first record say?
An optimized crystal structure of Zr4Cd3W2N3. Source: OQMD via LeMat-Bulk, functional PBE.

Cell: 5.5828 5.5828 14.8420 Å, 100.72 100.72 60.21°
Last column: nearest neighbours and their distance in Å.
Positions (direct):
Zr: 0.0278 0.1951 0.0887  3 N 2.25-2.27
Zr: 0.1367 0.3063 0.4113  3 N 2.25-2.27
Zr: 0.1951 0.0278 0.5887  3 N 2.25-2.27
Zr: 0.3063 0.1367 0.9113  3 N 2.25-2.27
Zr: 0.6937 0.8633 0.0887  3 N 2.25-2.27
Zr: 0.8049 0.9722 0.4113  3 N 2.25-2.27
Zr: 0.8633 0.6937 0.5887  3 N 2.25-2.27
Zr: 0.9722 0.8049 0.9113  3 N 2.25-2.27
Cd: 0.1169 0.8831 0.2500  2 Cd 2.91, 4 Zr 3.04-3.06, 2 W 3.10
Cd: 0.2829 0.4160 0.7498  2 Cd 2.91, 4 Zr 3.04-3.06, 2 W 3.09-3.12
Cd: 0.4160 0.2829 0.2498  2 Cd 2.91, 4 Zr 3.04-3.06, 2 W 3.09-3.12
Cd: 0.5840 0.7171 0.7502  2 Cd 2.91, 4 Zr 3.04-3.06, 2 W 3.09-3.12
Cd: 0.7171 0.5840 0.2502  2 Cd 2.91, 4 Zr 3.04-3.06, 2 W 3.09-3.12
Cd: 0.8831 0.1169 0.7500  2 Cd 2.91, 4 Zr 3.04-3.06, 2 W 3.10
W: 0.3548 0.5228 0.0699  3 N 2.11-2.15
W: 0.4772 0.6452 0.4301  3 N 2.11-2.15
W: 0.5228 0.3548 0.5699  3 N 2.11-2.15
W: 0.6452 0.4772 0.9301  3 N 2.11-2.15
N: 0.0000 0.5000 0.0000  2 W 2.11, 4 Zr 2.27
N: 0.1612 0.6694 0.5000  2 W 2.14-2.15, 4 Zr 2.25
N: 0.3306 0.8388 0.0000  2 W 2.14-2.15, 4 Zr 2.25
N: 0.5000 0.0000 0.5000  2 W 2.11, 4 Zr 2.27
N: 0.6694 0.1612 0.0000  2 W 2.14-2.15, 4 Zr 2.25
N: 0.8388 0.3306 0.5000  2 W 2.14-2.15, 4 Zr 2.25

## Properties
Symmetry: No. 15
VASP energy in eV per atom: -7.91